# 1
Er5Hg2 | GGA-PBE | optimized geometry

Lattice parameters (Å, degrees): 16.0861 7.2681 6.7057 90.00 90.96 90.00
Space group C2/c (No. 15)
Asymmetric unit:
Er: 0.0000 0.0034 0.2500 x4
Er: 0.0936 0.3510 0.5051 x8
Er: 0.2277 0.0264 0.7600 x8
Hg: 0.1128 0.2526 0.0132 x8

# 2
MnZnPt2 | GGA-PBE | optimized geometry

Lattice parameters (Å, degrees): 8.6536 2.8686 4.9266 90.00 101.36 90.00
Space group C2/m (No. 12)
Asymmetric unit:
Mn: 0.0000 0.0000 0.0000 x2
Zn: 0.0000 0.5000 0.5000 x2
Pt: 0.2504 0.0000 0.7504 x4

| no. | theoretical density (g/cm3) | spin magnetization (μB per formula unit) | formation energy (kcal/mol of atoms) |
| --- | --- | --- | --- |
| 1 | 10.5 | 0.00 | -5.6 |
| 2 | 14.1 | 4.09 | -7.7 |